The following is a DFT calculation (PBE) of crystalline Ag3H8Ir2 at its relaxed geometry.

Unit cell a=5.0415 b=5.1297 c=5.7041 alpha=84.81 beta=89.93 gamma=68.05
With the nearest neighbours (Å) after each atom.
Fractional positions:
Ag1 0.0000 0.0000 0.0000  2 H 2.01
Ag2 0.0118 0.5194 0.7461  2 H 1.83-1.86
Ag3 0.9882 0.4806 0.2539  2 H 1.83-1.86
H1 0.2965 0.9677 0.5018  2 Ir 1.76-1.79
H2 0.3850 0.3534 0.2429  1 Ir 1.69, 1 Ag 1.86, 1 H 1.86
H3 0.3938 0.3618 0.6900  1 Ir 1.71, 1 Ag 1.83
H4 0.4293 0.8339 0.0109  2 Ir 1.79, 2 H 1.86-1.93
H5 0.5707 0.1661 0.9891  2 Ir 1.79, 2 H 1.86-1.93
H6 0.6062 0.6382 0.3100  1 Ir 1.71, 1 Ag 1.83
H7 0.6150 0.6466 0.7571  1 Ir 1.69, 1 Ag 1.86, 1 H 1.86
H8 0.7035 0.0323 0.4982  2 Ir 1.76-1.79
Ir1 0.4988 0.9970 0.2559  6 H 1.69-1.79
Ir2 0.5012 0.0030 0.7441  6 H 1.69-1.79

Properties
Crystal system: triclinic
DOS(E_F), states/eV per cell: 2.39
Space-group type: No. 2
Size of the total moment, μB/atom: 0.00
VASP energy, eV per formula unit: -51.3